## SmDy4Mg5 (PBE)

Data for a relaxed SmDy4Mg5 crystal.

The space group is P4/mmm (No. 123) and the conventional cell measures 3.795, 3.795 and 19.038 Å, with angles of 90.00, 90.00 and 90.00 degrees. The distinct sites, in fractional coordinates, are Sm at (0.000, 0.000, 0.000), Dy at (0.000, 0.000, 0.203), Dy at (0.000, 0.000, 0.401), Mg at (0.500, 0.500, 0.104), Mg at (0.500, 0.500, 0.302) and Mg at (0.500, 0.500, 0.500).

The formation enthalpy at 0 K comes out at -0.083 eV per atom.